{"formula": "ZrSi2Mo", "functional": "PBE-GGA", "state": "optimized geometry", "dft_energy_ev_per_cell": -31.0, "spacegroup": "No. 123", "polymorph_energy_kj_per_mol_atoms": 29.35, "formation_energy_uncorrected_ev_per_atom": -0.20, "density_g_cm3": 6.31, "lattice_angstrom": [[4.162, 0.000, 0.000], [0.000, 4.162, 0.000], [0.000, 0.000, 3.697]], "species": ["Zr", "Si", "Si", "Mo"], "frac_coords": [[0.000, 0.000, 0.000], [0.000, 0.500, 0.500], [0.500, 0.000, 0.500], [0.500, 0.500, 0.000]]}